1 | A geometry-optimized CaPtBr structure. Source: Alexandria via LeMat-Bulk, functional GGA-PBE.

Geometry as CIF:
```
data_CaPtBr
_chemical_formula_sum 'Ca1 Pt1 Br1'
_symmetry_space_group_name_H-M 'P 1'
_symmetry_Int_Tables_number 1
_cell_length_a 3.595
_cell_length_b 3.595
_cell_length_c 6.796
_cell_angle_alpha 90.00
_cell_angle_beta 90.00
_cell_angle_gamma 120.00
loop_
_symmetry_equiv_pos_as_xyz
'x,y,z'
loop_
_atom_site_label
_atom_site_type_symbol
_atom_site_fract_x
_atom_site_fract_y
_atom_site_fract_z
Pt1 Pt 0.333 0.667 0.629
Ca1 Ca 0.667 0.333 0.329
Br1 Br 0.000 0.000 0.042
```

Results
- DOS at the Fermi energy (states/eV/cell) = 0.84
- volume (A^3/atom) = 25.4
- space-group type = P3m1, No. 156

2 | A geometry-optimized CaPtBr structure. Source: Alexandria via LeMat-Bulk, functional GGA-PBE.

Geometry as CIF:
```
data_CaPtBr
_chemical_formula_sum 'Ca1 Pt1 Br1'
_symmetry_space_group_name_H-M 'P 1'
_symmetry_Int_Tables_number 1
_cell_length_a 4.716
_cell_length_b 4.716
_cell_length_c 3.536
_cell_angle_alpha 90.00
_cell_angle_beta 90.00
_cell_angle_gamma 120.00
loop_
_symmetry_equiv_pos_as_xyz
'x,y,z'
loop_
_atom_site_label
_atom_site_type_symbol
_atom_site_fract_x
_atom_site_fract_y
_atom_site_fract_z
Br1 Br 0.000 0.000 0.833
Ca1 Ca 0.667 0.333 0.334
Pt1 Pt 0.333 0.667 0.834
```

Results
- DOS at the Fermi energy (states/eV/cell) = 1.92
- volume (A^3/atom) = 22.7
- space-group type = P-6m2, No. 187

Most stable structure, least stable structure: 2, 1.

1 | A geometry-optimized CaPtBr3 structure. Source: Alexandria via LeMat-Bulk, functional GGA-PBE.

Geometry as CIF:
```
data_CaPtBr3
_chemical_formula_sum 'Ca1 Pt1 Br3'
_symmetry_space_group_name_H-M 'P 1'
_symmetry_Int_Tables_number 1
_cell_length_a 5.213
_cell_length_b 5.213
_cell_length_c 5.213
_cell_angle_alpha 90.00
_cell_angle_beta 90.00
_cell_angle_gamma 90.00
loop_
_symmetry_equiv_pos_as_xyz
'x,y,z'
loop_
_atom_site_label
_atom_site_type_symbol
_atom_site_fract_x
_atom_site_fract_y
_atom_site_fract_z
Br1 Br 0.000 0.000 0.500
Br2 Br 0.000 0.500 0.000
Br3 Br 0.500 0.000 0.000
Ca1 Ca 0.500 0.500 0.500
Pt1 Pt 0.000 0.000 0.000
```

Results
- DOS at the Fermi energy (states/eV/cell) = 0.65
- volume (A^3/atom) = 28.3
- space-group type = Pm-3m, No. 221

2 | A geometry-optimized CaPtBr3 structure. Source: Alexandria via LeMat-Bulk, functional GGA-PBE.

Geometry as CIF:
```
data_CaPtBr3
_chemical_formula_sum 'Ca1 Pt1 Br3'
_symmetry_space_group_name_H-M 'P 1'
_symmetry_Int_Tables_number 1
_cell_length_a 5.563
_cell_length_b 5.563
_cell_length_c 5.563
_cell_angle_alpha 90.00
_cell_angle_beta 90.00
_cell_angle_gamma 90.00
loop_
_symmetry_equiv_pos_as_xyz
'x,y,z'
loop_
_atom_site_label
_atom_site_type_symbol
_atom_site_fract_x
_atom_site_fract_y
_atom_site_fract_z
Br1 Br 0.000 0.000 0.500
Br2 Br 0.000 0.500 0.000
Br3 Br 0.500 0.000 0.000
Ca1 Ca 0.000 0.000 0.000
Pt1 Pt 0.500 0.500 0.500
```

Results
- DOS at the Fermi energy (states/eV/cell) = 11.29
- volume (A^3/atom) = 34.4
- space-group type = Pm-3m, No. 221

Most stable structure, least stable structure: 1, 2.

1 | A geometry-optimized CaPu2Br6 structure. Source: Alexandria via LeMat-Bulk, functional GGA-PBE.

Geometry as CIF:
```
data_CaPu2Br6
_chemical_formula_sum 'Ca1 Pu2 Br6'
_symmetry_space_group_name_H-M 'P 1'
_symmetry_Int_Tables_number 1
_cell_length_a 4.220
_cell_length_b 8.568
_cell_length_c 9.560
_cell_angle_alpha 102.93
_cell_angle_beta 102.75
_cell_angle_gamma 90.00
loop_
_symmetry_equiv_pos_as_xyz
'x,y,z'
loop_
_atom_site_label
_atom_site_type_symbol
_atom_site_fract_x
_atom_site_fract_y
_atom_site_fract_z
Br1 Br 0.662 0.573 0.324
Br2 Br 0.662 0.083 0.324
Br3 Br 0.008 0.238 0.016
Br4 Br 0.338 0.917 0.676
Br5 Br 0.992 0.762 0.984
Br6 Br 0.338 0.427 0.676
Ca1 Ca 0.500 0.000 0.000
Pu1 Pu 0.824 0.663 0.648
Pu2 Pu 0.176 0.337 0.352
```

Results
- DOS at the Fermi energy (states/eV/cell) = 24.53
- volume (A^3/atom) = 36.5
- space-group type = C2/m, No. 12

2 | A geometry-optimized CaPu2Br6 structure. Source: Alexandria via LeMat-Bulk, functional GGA-PBE.

Geometry as CIF:
```
data_CaPu2Br6
_chemical_formula_sum 'Ca2 Pu4 Br12'
_symmetry_space_group_name_H-M 'P 1'
_symmetry_Int_Tables_number 1
_cell_length_a 7.043
_cell_length_b 7.043
_cell_length_c 13.212
_cell_angle_alpha 90.00
_cell_angle_beta 90.00
_cell_angle_gamma 90.00
loop_
_symmetry_equiv_pos_as_xyz
'x,y,z'
loop_
_atom_site_label
_atom_site_type_symbol
_atom_site_fract_x
_atom_site_fract_y
_atom_site_fract_z
Br1 Br 0.803 0.197 0.336
Br2 Br 0.697 0.697 0.164
Br3 Br 0.303 0.303 0.164
Br4 Br 0.697 0.697 0.836
Br5 Br 0.197 0.803 0.336
Br6 Br 0.794 0.206 0.000
Br7 Br 0.294 0.294 0.500
Br8 Br 0.206 0.794 0.000
Br9 Br 0.197 0.803 0.664
Br10 Br 0.803 0.197 0.664
Br11 Br 0.706 0.706 0.500
Br12 Br 0.303 0.303 0.836
Pu1 Pu 0.000 0.000 0.164
Pu2 Pu 0.500 0.500 0.664
Pu3 Pu 0.000 0.000 0.836
Pu4 Pu 0.500 0.500 0.336
Ca1 Ca 0.000 0.000 0.500
Ca2 Ca 0.500 0.500 0.000
```

Results
- DOS at the Fermi energy (states/eV/cell) = 69.21
- volume (A^3/atom) = 36.4
- space-group type = P4_2/mnm, No. 136

Most stable structure, least stable structure: 1, 2.

1 | A geometry-optimized CaPuBr4 structure. Source: Alexandria via LeMat-Bulk, functional GGA-PBE.

Geometry as CIF:
```
data_CaPuBr4
_chemical_formula_sum 'Ca2 Pu2 Br8'
_symmetry_space_group_name_H-M 'P 1'
_symmetry_Int_Tables_number 1
_cell_length_a 4.281
_cell_length_b 9.473
_cell_length_c 11.468
_cell_angle_alpha 83.25
_cell_angle_beta 79.24
_cell_angle_gamma 76.94
loop_
_symmetry_equiv_pos_as_xyz
'x,y,z'
loop_
_atom_site_label
_atom_site_type_symbol
_atom_site_fract_x
_atom_site_fract_y
_atom_site_fract_z
Pu1 Pu 0.500 0.500 0.000
Pu2 Pu 0.000 0.000 0.500
Br1 Br 0.066 0.552 0.816
Br2 Br 0.809 0.306 0.575
Br3 Br 0.934 0.448 0.184
Br4 Br 0.191 0.694 0.425
Br5 Br 0.434 0.948 0.684
Br6 Br 0.691 0.194 0.925
Br7 Br 0.309 0.806 0.075
Br8 Br 0.566 0.052 0.316
Ca1 Ca 0.750 0.750 0.250
Ca2 Ca 0.250 0.250 0.750
```

Results
- DOS at the Fermi energy (states/eV/cell) = 27.60
- volume (A^3/atom) = 37.0
- space-group type = C2/m, No. 12

2 | A geometry-optimized CaPuBr4 structure. Source: Alexandria via LeMat-Bulk, functional GGA-PBE.

Geometry as CIF:
```
data_CaPuBr4
_chemical_formula_sum 'Ca2 Pu2 Br8'
_symmetry_space_group_name_H-M 'P 1'
_symmetry_Int_Tables_number 1
_cell_length_a 7.217
_cell_length_b 7.217
_cell_length_c 8.855
_cell_angle_alpha 114.04
_cell_angle_beta 114.05
_cell_angle_gamma 90.01
loop_
_symmetry_equiv_pos_as_xyz
'x,y,z'
loop_
_atom_site_label
_atom_site_type_symbol
_atom_site_fract_x
_atom_site_fract_y
_atom_site_fract_z
Br1 Br 0.127 0.127 0.253
Br2 Br 0.373 0.873 0.747
Br3 Br 0.373 0.373 0.747
Br4 Br 0.627 0.127 0.253
Br5 Br 0.873 0.873 0.747
Br6 Br 0.127 0.627 0.253
Br7 Br 0.873 0.373 0.747
Br8 Br 0.627 0.627 0.253
Pu1 Pu 0.250 0.750 0.000
Pu2 Pu 0.750 0.250 0.000
Ca1 Ca 0.500 0.500 0.500
Ca2 Ca 0.000 0.000 0.500
```

Results
- DOS at the Fermi energy (states/eV/cell) = 20.83
- volume (A^3/atom) = 31.4
- space-group type = P4/mmm, No. 123

Most stable structure, least stable structure: 1, 2.

1 | A geometry-optimized RbCa2Br structure. Source: Alexandria via LeMat-Bulk, functional GGA-PBE.

Geometry as CIF:
```
data_RbCa2Br
_chemical_formula_sum 'Rb1 Ca2 Br1'
_symmetry_space_group_name_H-M 'P 1'
_symmetry_Int_Tables_number 1
_cell_length_a 6.428
_cell_length_b 6.428
_cell_length_c 6.428
_cell_angle_alpha 60.00
_cell_angle_beta 60.00
_cell_angle_gamma 60.00
loop_
_symmetry_equiv_pos_as_xyz
'x,y,z'
loop_
_atom_site_label
_atom_site_type_symbol
_atom_site_fract_x
_atom_site_fract_y
_atom_site_fract_z
Br1 Br 0.000 0.000 0.000
Rb1 Rb 0.500 0.500 0.500
Ca1 Ca 0.250 0.250 0.250
Ca2 Ca 0.750 0.750 0.750
```

Results
- DOS at the Fermi energy (states/eV/cell) = 4.23
- volume (A^3/atom) = 47.0
- space-group type = Fm-3m, No. 225

2 | A geometry-optimized RbCa2Br structure. Source: Alexandria via LeMat-Bulk, functional GGA-PBE.

Geometry as CIF:
```
data_RbCa2Br
_chemical_formula_sum 'Rb2 Ca4 Br2'
_symmetry_space_group_name_H-M 'P 1'
_symmetry_Int_Tables_number 1
_cell_length_a 7.389
_cell_length_b 7.389
_cell_length_c 10.686
_cell_angle_alpha 69.77
_cell_angle_beta 69.77
_cell_angle_gamma 90.00
loop_
_symmetry_equiv_pos_as_xyz
'x,y,z'
loop_
_atom_site_label
_atom_site_type_symbol
_atom_site_fract_x
_atom_site_fract_y
_atom_site_fract_z
Ca1 Ca 0.375 0.623 0.750
Ca2 Ca 0.377 0.125 0.250
Ca3 Ca 0.875 0.627 0.750
Ca4 Ca 0.373 0.625 0.250
Br1 Br 0.250 0.750 0.500
Br2 Br 0.500 0.500 0.000
Rb1 Rb 0.750 0.250 0.500
Rb2 Rb 0.000 0.000 0.000
```

Results
- DOS at the Fermi energy (states/eV/cell) = 14.23
- volume (A^3/atom) = 63.6
- space-group type = I-42d, No. 122

Most stable structure, least stable structure: 2, 1.

1 | A geometry-optimized Rb3Ca2Br7 structure. Source: Alexandria via LeMat-Bulk, functional GGA-PBE.

Geometry as CIF:
```
data_Rb3Ca2Br7
_chemical_formula_sum 'Rb3 Ca2 Br7'
_symmetry_space_group_name_H-M 'P 1'
_symmetry_Int_Tables_number 1
_cell_length_a 5.755
_cell_length_b 5.644
_cell_length_c 14.691
_cell_angle_alpha 90.00
_cell_angle_beta 101.29
_cell_angle_gamma 90.00
loop_
_symmetry_equiv_pos_as_xyz
'x,y,z'
loop_
_atom_site_label
_atom_site_type_symbol
_atom_site_fract_x
_atom_site_fract_y
_atom_site_fract_z
Ca1 Ca 0.101 0.000 0.203
Ca2 Ca 0.899 0.000 0.797
Br1 Br 0.597 0.000 0.194
Br2 Br 0.902 0.500 0.805
Br3 Br 0.000 0.000 0.000
Br4 Br 0.098 0.500 0.195
Br5 Br 0.800 0.000 0.601
Br6 Br 0.200 0.000 0.399
Br7 Br 0.403 0.000 0.806
Rb1 Rb 0.320 0.500 0.640
Rb2 Rb 0.680 0.500 0.360
Rb3 Rb 0.500 0.500 0.000
```

Results
- DOS at the Fermi energy (states/eV/cell) = 0.00
- volume (A^3/atom) = 39.0
- space-group type = Cmmm, No. 65

2 | A geometry-optimized Rb3Ca2Br7 structure. Source: Alexandria via LeMat-Bulk, functional GGA-PBE.

Geometry as CIF:
```
data_Rb3Ca2Br7
_chemical_formula_sum 'Rb3 Ca2 Br7'
_symmetry_space_group_name_H-M 'P 1'
_symmetry_Int_Tables_number 1
_cell_length_a 5.723
_cell_length_b 5.723
_cell_length_c 14.923
_cell_angle_alpha 101.05
_cell_angle_beta 101.05
_cell_angle_gamma 90.00
loop_
_symmetry_equiv_pos_as_xyz
'x,y,z'
loop_
_atom_site_label
_atom_site_type_symbol
_atom_site_fract_x
_atom_site_fract_y
_atom_site_fract_z
Rb1 Rb 0.682 0.682 0.364
Rb2 Rb 0.500 0.500 0.000
Rb3 Rb 0.318 0.318 0.636
Br1 Br 0.903 0.403 0.807
Br2 Br 0.403 0.903 0.807
Br3 Br 0.597 0.097 0.193
Br4 Br 0.097 0.597 0.193
Br5 Br 0.200 0.200 0.400
Br6 Br 0.800 0.800 0.600
Br7 Br 0.000 0.000 0.000
Ca1 Ca 0.101 0.101 0.203
Ca2 Ca 0.899 0.899 0.797
```

Results
- DOS at the Fermi energy (states/eV/cell) = 0.00
- volume (A^3/atom) = 39.2
- space-group type = I4/mmm, No. 139

Most stable structure, least stable structure: 2, 1.